! NiAgH | the Alexandria database | PBE | relaxed; values from VASP
&SYSTEM
  ibrav = 0, nat = 3, ntyp = 3
/
ATOMIC_SPECIES
Ni 58.69 Ni.upf
Ag 107.87 Ag.upf
H 1.01 H.upf
CELL_PARAMETERS angstrom
-0.919 -1.561 -2.162
2.756 0.110 0.590
-0.456 -3.622 2.808
ATOMIC_POSITIONS angstrom
Ni 0.086 -2.751 0.109
Ag -0.452 -3.585 2.780
H 1.291 -2.358 1.154
! - Symmetry: P3m1 (156)
! - Distance to the lowest polymorph of the same formula: 0.000 eV/atom